4
Lattice="4.588 0.000 0.000 2.294 3.973 0.000 2.294 1.324 3.746" Properties=species:S:1:pos:R:3 comment="meta-GGA SCAN SrRh3, single point on PBEsol structure" formation_enthalpy_0k_ev_per_atom=0.34 sg="No. 225" density_g_cm3=9.6 energy_ev_per_atom=-30.55 pbc="T T T"
Rh 2.294 1.324 0.936
Rh 0.000 0.000 0.000
Rh 6.882 3.973 2.809
Sr 4.588 2.649 1.873

=====

21
Lattice="-3.203 -5.651 0.591 2.044 -4.475 4.283 -5.275 0.010 7.496" Properties=species:S:1:pos:R:3 comment="meta-GGA SCAN Ta8NiC4S8, single point on PBEsol structure" sg="No. 166" density_g_cm3=9.8 energy_ev_per_atom=-32.66 raw_formation_energy_ev_per_atom=-0.931 pbc="T T T"
Ta -5.119 -4.034 5.669
Ta -3.508 -1.214 5.373
Ta -4.092 -6.281 7.819
Ta -2.484 -3.444 7.522
Ta -1.315 -6.082 6.701
Ta -2.926 -8.903 6.996
Ta -2.341 -3.835 4.551
Ta -3.950 -6.673 4.848
Ni 0.000 0.000 0.000
C -4.239 -2.821 4.044
C -2.637 0.005 3.748
C -3.217 -5.058 6.185
C -1.615 -2.233 5.889
S -2.778 -5.651 2.900
S -1.204 -2.809 2.607
S -1.767 -7.864 5.017
S -0.183 -5.069 4.725
S -3.656 -4.466 9.470
S -5.229 -7.308 9.763
S -4.667 -2.253 7.352
S -6.251 -5.047 7.645

=====

5
Lattice="5.768 0.000 0.000 0.000 5.801 0.000 0.000 0.000 5.801" Properties=species:S:1:pos:R:3 comment="meta-GGA SCAN SrTaSb2I, single point on PBEsol structure" sg="No. 123" density_g_cm3=5.5 energy_ev_per_atom=-38.52 raw_formation_energy_ev_per_atom=1.504 pbc="T T T"
I 2.884 0.000 0.000
Sb 0.000 0.000 2.901
Sb 0.000 2.901 0.000
Sr 0.000 0.000 0.000
Ta 2.884 2.901 2.901

=====

4
Lattice="4.024 0.000 0.000 0.000 4.024 0.000 -2.012 -2.012 5.551" Properties=species:S:1:pos:R:3 comment="meta-GGA SCAN ScMnTe2, single point on PBEsol structure" sg="No. 119" density_g_cm3=6.6 energy_ev_per_atom=-27.23 raw_formation_energy_ev_per_atom=-0.479 pbc="T T T"
Mn 2.012 2.012 0.000
Sc 0.000 2.012 2.775
Te 0.000 0.000 0.000
Te 2.012 0.000 2.775

=====

4
Lattice="-1.964 1.587 -1.188 1.478 -0.820 -3.538 -3.612 -4.771 -0.403" Properties=species:S:1:pos:R:3 comment="meta-GGA SCAN ZrMo2Ir, single point on PBEsol structure" relative_energy_ev_per_atom=0.334 formation_enthalpy_0k_ev_per_atom=0.07 sg="No. 47" density_g_cm3=12.0 energy_ev_per_atom=-42.82 pbc="T T T"
Ir -2.049 -2.002 -2.565
Mo -2.598 -3.432 -0.290
Mo -1.014 -1.339 -0.113
Zr -0.243 0.384 -2.363

=====

3
Lattice="-0.134 -3.821 -1.258 0.421 -3.005 2.645 -3.157 -2.316 0.934" Properties=species:S:1:pos:R:3 comment="meta-GGA SCAN BeAsPt, single point on PBEsol structure" formation_enthalpy_0k_ev_per_atom=-0.03 sg="No. 216" density_g_cm3=10.0 energy_ev_per_atom=-31.61 pbc="T T T"
Be 0.000 0.000 0.000
As -0.717 -2.286 0.580
Pt -1.435 -4.571 1.160

=====

6
Lattice="3.501 0.000 0.000 0.000 4.294 0.000 -1.751 0.000 7.926" Properties=species:S:1:pos:R:3 comment="meta-GGA SCAN NaSiP, single point on PBEsol structure" sg="No. 63" density_g_cm3=2.3 energy_ev_per_atom=-8.59 raw_formation_energy_ev_per_atom=-0.382 pbc="T T T"
P 1.751 1.073 5.886
P 0.000 3.220 2.040
Si 1.751 3.220 0.612
Si 0.000 1.073 7.314
Na 1.751 1.073 2.874
Na 0.000 3.220 5.052

=====

4
Lattice="3.457 0.000 0.000 0.000 3.457 0.000 0.000 0.000 7.028" Properties=species:S:1:pos:R:3 comment="meta-GGA SCAN YZr2P, single point on PBEsol structure" formation_enthalpy_0k_ev_per_atom=-0.62 sg="No. 99" density_g_cm3=6.0 energy_ev_per_atom=-25.53 pbc="T T T"
P 0.000 0.000 3.203
Y 1.729 1.729 5.043
Zr 0.000 0.000 0.211
Zr 1.729 1.729 2.085

=====

4
Lattice="3.350 0.000 0.000 0.000 3.618 0.025 0.000 -0.043 6.204" Properties=species:S:1:pos:R:3 comment="meta-GGA SCAN Cu2HgBr, single point on PBEsol structure" relative_energy_ev_per_atom=0.000 sg="No. 47" density_g_cm3=9.0 energy_ev_per_atom=-29.45 raw_formation_energy_ev_per_atom=0.054 pbc="T T T"
Br 1.675 1.809 0.013
Cu 0.000 1.779 4.296
Cu 0.000 1.796 1.933
Hg 1.675 -0.022 3.102

=====

5
Lattice="5.762 0.000 0.000 0.000 5.762 0.000 0.000 0.000 5.762" Properties=species:S:1:pos:R:3 comment="meta-GGA SCAN TiTl3Br, single point on PBEsol structure" sg="No. 221" density_g_cm3=6.4 energy_ev_per_atom=-49.91 raw_formation_energy_ev_per_atom=0.607 pbc="T T T"
Tl 0.000 2.881 0.000
Tl 0.000 0.000 2.881
Tl 2.881 0.000 0.000
Br 0.000 0.000 0.000
Ti 2.881 2.881 2.881

=====

4
Lattice="5.329 0.000 0.000 2.664 4.615 0.000 2.664 1.538 4.351" Properties=species:S:1:pos:R:3 comment="meta-GGA SCAN KRbTa2, single point on PBEsol structure" formation_enthalpy_0k_ev_per_atom=2.90 sg="No. 225" density_g_cm3=7.5 energy_ev_per_atom=-37.66 pbc="T T T"
K 0.000 0.000 0.000
Rb 5.329 3.077 2.176
Ta 2.664 1.538 1.088
Ta 7.993 4.615 3.263

=====

10
Lattice="2.988 0.000 0.000 1.494 2.588 0.000 1.494 0.863 12.212" Properties=species:S:1:pos:R:3 comment="meta-GGA SCAN Ti5CN4, single point on PBEsol structure" sg="No. 166" density_g_cm3=5.4 energy_ev_per_atom=-14.51 raw_formation_energy_ev_per_atom=-1.771 pbc="T T T"
Ti 2.988 1.725 2.421
Ti 0.000 0.000 0.000
Ti 2.988 1.725 9.791
Ti 1.494 0.863 4.885
Ti 4.482 2.588 7.328
C 2.988 1.725 6.106
N 1.494 0.863 8.586
N 4.482 2.588 10.998
N 1.494 0.863 1.215
N 4.482 2.588 3.627

=====

5
Lattice="3.988 0.000 0.000 0.000 3.988 0.000 -1.994 -1.994 4.940" Properties=species:S:1:pos:R:3 comment="meta-GGA SCAN YGa2Ni2, single point on PBEsol structure" formation_enthalpy_0k_ev_per_atom=-0.62 sg="No. 139" density_g_cm3=7.3 energy_ev_per_atom=-19.20 pbc="T T T"
Y 0.000 0.000 0.000
Ni 0.000 0.000 3.795
Ni 1.994 1.994 1.144
Ga 0.000 1.994 2.470
Ga 1.994 0.000 2.470

=====

6
Lattice="-1.024 -1.927 -3.296 -3.922 -4.371 1.404 -5.894 0.826 -1.021" Properties=species:S:1:pos:R:3 comment="meta-GGA SCAN CeGe5, single point on PBEsol structure" formation_enthalpy_0k_ev_per_atom=-0.31 sg="No. 71" density_g_cm3=7.2 energy_ev_per_atom=-23.64 pbc="T T T"
Ce 0.000 0.000 0.000
Ge -4.351 -1.377 -2.583
Ge -3.527 -3.550 -1.569
Ge -7.314 -1.923 -1.344
Ge -6.489 -4.095 -0.330
Ge -4.908 -1.773 0.191

=====

5
Lattice="-0.464 -4.914 2.172 4.123 -2.060 -3.778 4.272 1.336 3.934" Properties=species:S:1:pos:R:3 comment="meta-GGA SCAN BaCrSiSn2, single point on PBEsol structure" sg="No. 123" density_g_cm3=3.9 energy_ev_per_atom=-26.18 raw_formation_energy_ev_per_atom=1.779 pbc="T T T"
Cr -0.232 -2.457 1.086
Si 3.965 -2.819 1.164
Ba 0.000 0.000 0.000
Sn 2.136 0.668 1.967
Sn 2.061 -1.030 -1.889

=====

4
Lattice="-2.560 0.768 -2.469 -0.746 -3.545 -0.330 -0.850 1.665 4.081" Properties=species:S:1:pos:R:3 comment="meta-GGA SCAN Co2MoRh, single point on PBEsol structure" relative_energy_ev_per_atom=0.000 formation_enthalpy_0k_ev_per_atom=0.01 sg="No. 119" density_g_cm3=10.8 energy_ev_per_atom=-25.80 pbc="T T T"
Rh -1.624 -1.634 1.175
Mo 0.000 0.000 0.000
Co -1.653 -1.389 -1.399
Co -2.531 0.522 0.106

=====

6
Lattice="-2.600 -2.416 -3.818 2.563 -3.008 -3.400 -0.604 -5.176 0.128" Properties=species:S:1:pos:R:3 comment="meta-GGA SCAN ScSbOs4, single point on PBEsol structure" sg="No. 216" density_g_cm3=15.4 energy_ev_per_atom=-56.26 raw_formation_energy_ev_per_atom=0.241 pbc="T T T"
Os -0.240 -3.975 -2.659
Os -0.542 -6.563 -2.596
Os -1.540 -5.183 -4.568
Os 1.041 -5.479 -4.359
Sb -0.480 -7.950 -5.318
Sc 0.000 0.000 0.000

=====

5
Lattice="-1.314 3.149 0.728 -2.070 -1.423 2.421 7.958 0.348 4.493" Properties=species:S:1:pos:R:3 comment="meta-GGA SCAN In2Si2Hg, single point on PBEsol structure" sg="No. 139" density_g_cm3=7.5 energy_ev_per_atom=-30.73 raw_formation_energy_ev_per_atom=0.264 pbc="T T T"
Si 2.098 -0.106 4.245
Si 2.476 2.180 3.398
Hg 0.000 0.000 0.000
In 4.879 0.943 4.725
In -0.304 1.131 2.918

=====

4
Lattice="-1.171 3.525 -0.407 -3.460 -1.229 -0.691 -0.942 0.193 4.376" Properties=species:S:1:pos:R:3 comment="meta-GGA SCAN LaCoCu2, single point on PBEsol structure" formation_enthalpy_0k_ev_per_atom=0.34 sg="No. 123" density_g_cm3=8.6 energy_ev_per_atom=-22.36 pbc="T T T"
Co -0.471 0.097 2.188
Cu -1.730 -0.614 -0.345
Cu -0.585 1.762 -0.204
La -2.786 1.244 1.639

=====

5
Lattice="-0.017 -3.600 4.614 -0.482 -4.598 -3.589 5.833 -0.390 -0.284" Properties=species:S:1:pos:R:3 comment="meta-GGA SCAN ScInI3, single point on PBEsol structure" relative_energy_ev_per_atom=0.735 sg="No. 221" density_g_cm3=4.5 energy_ev_per_atom=-31.57 raw_formation_energy_ev_per_atom=0.004 pbc="T T T"
I -0.241 -2.299 -1.794
I 2.916 -0.195 -0.142
I -0.008 -1.800 2.307
Sc 2.667 -4.294 0.371
In 0.000 0.000 0.000